LaHg3P | PBE-GGA | relaxed

a b c (Å): 6.134 6.134 6.134
angles (deg): 90.00 90.00 90.00
Space group Pm-3m (No. 221)
Inequivalent atoms, fractional coordinates:
La (0.000, 0.000, 0.000) (multiplicity 1)
Hg (0.000, 0.000, 0.500) (multiplicity 3)
P (0.500, 0.500, 0.500) (multiplicity 1)

Computed properties:
The value obtained for the total energy is -1.389 eV per atom. The total magnetization comes out at 0.166 μB/f.u. Its calculated formation energy is 83.0 kJ/mol of atoms. As for the energy above the most stable polymorph in this dataset: 0.750 eV/atom.